# ScSi2P

A relaxed ScSi2P crystal (PBEsol, Alexandria).

abc: 5.506 5.497 3.681
angles: 70.59 70.33 39.08
Fractional coordinates of all 4 atoms:
Sc1 0.000 0.000 0.000
Si1 0.000 0.500 0.000
Si2 0.500 0.000 0.500
P1 0.500 0.500 0.500

Properties
ΔE_f (raw)	-0.397	eV per atom
total magnetic moment	0.00	μB per cell
calculated total energy	-6.369	eV/atom
crystal system	orthorhombic